# 1
VASP calculation (PBE) on a relaxed AcTb4Sm7 crystal.

## Properties
As for the polymorph energy (0 for the lowest one): 268 meV per atom.

Unit cell a=6.151 b=11.555 c=6.882 alpha=83.12 beta=63.46 gamma=74.56
Fractional positions:
Ac 0.000 0.000 0.000
Tb 0.630 0.224 0.515
Tb 0.370 0.776 0.485
Tb 0.746 0.682 0.826
Tb 0.254 0.318 0.174
Sm 0.785 0.918 0.512
Sm 0.215 0.082 0.488
Sm 0.056 0.661 0.227
Sm 0.944 0.339 0.773
Sm 0.370 0.505 0.756
Sm 0.500 0.000 0.000
Sm 0.630 0.495 0.244

# 2
VASP calculation (PBE) on a relaxed Ba2CaNd crystal.

## Properties
As for the polymorph energy (0 for the lowest one): 0 meV per atom.

Unit cell a=4.037 b=4.037 c=11.855 alpha=90.00 beta=90.00 gamma=90.00
Fractional positions:
Ca 0.500 0.500 0.500
Nd 0.500 0.500 0.000
Ba 0.000 0.000 0.761
Ba 0.000 0.000 0.239

# 3
VASP calculation (PBE) on a relaxed Nd6SmTm2Th crystal.

Unit cell a=9.744 b=8.872 c=8.872 alpha=115.98 beta=94.11 gamma=94.11
Fractional positions:
Nd 0.058 0.107 0.761
Nd 0.442 0.239 0.893
Nd 0.942 0.893 0.239
Nd 0.558 0.761 0.107
Nd 0.314 0.988 0.425
Nd 0.186 0.575 0.012
Nd 0.686 0.012 0.575
Nd 0.814 0.425 0.988
Nd 0.119 0.702 0.487
Nd 0.381 0.513 0.298
Nd 0.881 0.298 0.513
Nd 0.619 0.487 0.702
Sm 0.250 0.407 0.593
Sm 0.750 0.593 0.407
Tm 0.448 0.801 0.711
Tm 0.052 0.289 0.199
Tm 0.552 0.199 0.289
Tm 0.948 0.711 0.801
Th 0.250 0.968 0.032
Th 0.750 0.032 0.968

no.,energy of formation from the pure elements (eV/atom),DOS(E_F) (states/eV/atom)
1,0.2790,1.4951
2,0.1429,1.7784
3,0.1399,1.4297